First-principles (GGA-PBE) data for crystalline AcLa12Sn4N3 at its relaxed geometry, as listed in Alexandria via LeMat-Bulk.

a = 9.1010 Å, b = 9.1010 Å, c = 9.1010 Å
α = 109.47°, β = 109.47°, γ = 109.47°
Element x y z (fractional)
Ac  0.0000  0.0000  0.0000
La  0.2500  0.5000  0.7500
La  0.7204  0.0000  0.7204
La  0.2796  0.0000  0.2796
La  0.7500  0.5000  0.2500
La  0.7204  0.7204  0.0000
La  0.2796  0.2796  0.0000
La  0.7500  0.2500  0.5000
La  0.2500  0.7500  0.5000
La  0.5000  0.2500  0.7500
La  0.0000  0.7204  0.7204
La  0.5000  0.7500  0.2500
La  0.0000  0.2796  0.2796
Sn  0.5000  0.5000  0.5000
Sn  0.0000  0.0000  0.5000
Sn  0.5000  0.0000  0.0000
Sn  0.0000  0.5000  0.0000
N  0.5000  0.0000  0.5000
N  0.5000  0.5000  0.0000
N  0.0000  0.5000  0.5000

Values from the calculation:
SG: Im-3m, No. 229
volume: 29.0 Å³/atom
energy: -115.89 eV/f.u.
theoretical density: 6.90 g/cm³

First-principles (GGA-PBE) data for crystalline U3Tl4Se8 at its relaxed geometry, as listed in Alexandria via LeMat-Bulk.

a = 8.5756 Å, b = 8.5756 Å, c = 9.5186 Å
α = 63.23°, β = 63.23°, γ = 60.00°
Element x y z (fractional)
U  0.5000  0.0000  0.5000
U  0.0000  0.0000  0.5000
U  0.0000  0.5000  0.5000
Tl  0.0000  0.0000  0.0000
Tl  0.3612  0.3612  0.9165
Tl  0.5000  0.5000  0.5000
Tl  0.6388  0.6388  0.0835
Se  0.2272  0.2272  0.3185
Se  0.1984  0.7487  0.3041
Se  0.7487  0.7487  0.3041
Se  0.7487  0.1985  0.3041
Se  0.7728  0.7728  0.6815
Se  0.8016  0.2513  0.6959
Se  0.2513  0.2513  0.6959
Se  0.2513  0.8016  0.6959

Values from the calculation:
SG: R-3m, No. 166
volume: 34.5 Å³/atom
energy: -83.80 eV/f.u.
theoretical density: 6.94 g/cm³

First-principles (GGA-PBE) data for crystalline LuH2Rh at its relaxed geometry, as listed in Alexandria via LeMat-Bulk.

a = 3.7537 Å, b = 3.7537 Å, c = 4.5373 Å
α = 65.57°, β = 65.57°, γ = 60.00°
Element x y z (fractional)
H  0.1390  0.1390  0.5830
H  0.8610  0.8610  0.4170
Lu  0.5000  0.5000  0.5000
Rh  0.0000  0.0000  0.0000

Values from the calculation:
SG: R-3m, No. 166
volume: 12.2 Å³/atom
energy: -20.69 eV/f.u.
theoretical density: 9.55 g/cm³

First-principles (GGA-PBE) data for crystalline SrNiH3 at its relaxed geometry, as listed in Alexandria via LeMat-Bulk.

a = 3.8541 Å, b = 3.8541 Å, c = 8.7808 Å
α = 77.32°, β = 77.32°, γ = 90.00°
Element x y z (fractional)
Sr  0.0000  0.0000  0.0000
Sr  0.2500  0.7500  0.5000
H  0.2877  0.8925  0.2150
H  0.1075  0.7123  0.7850
H  0.1075  0.5026  0.7850
H  0.4974  0.8925  0.2150
H  0.3423  0.3423  0.3155
H  0.6577  0.6577  0.6845
Ni  0.6546  0.1546  0.6908
Ni  0.8454  0.3454  0.3092

Values from the calculation:
SG: I-4m2, No. 119
volume: 12.4 Å³/atom
energy: -16.64 eV/f.u.
theoretical density: 4.00 g/cm³

D(E_F) values, unit states/eV per cell, following the record order: 16.15 13.04 0.91 2.17.